No. 1
Material: PmYPbS
Method: DFT, PBE-GGA
State: optimized geometry Values from VASP.

```
&SYSTEM
  ibrav = 0, nat = 4, ntyp = 4
/
ATOMIC_SPECIES
Pm 145.00 Pm.upf
Y 88.91 Y.upf
Pb 207.20 Pb.upf
S 32.06 S.upf
CELL_PARAMETERS angstrom
3.8535 0.0000 0.0000
1.9143 3.3483 0.0000
1.9162 1.1126 8.2663
ATOMIC_POSITIONS angstrom
Pm 0.0000 0.0000 0.0000
Y 1.9182 1.1081 3.2519
Pb 3.8432 2.2220 5.7325
S 3.8422 2.2279 1.6811
```

Computed properties:
Space-group type: P1
Uncorrected formation energy (eV per formula unit): -4.94

No. 2
Material: Pm3YPb2S
Method: DFT, PBE-GGA
State: optimized geometry Values from VASP.

```
&SYSTEM
  ibrav = 0, nat = 7, ntyp = 4
/
ATOMIC_SPECIES
Pm 145.00 Pm.upf
Y 88.91 Y.upf
Pb 207.20 Pb.upf
S 32.06 S.upf
CELL_PARAMETERS angstrom
-2.5489 2.6078 8.2956
2.5489 -2.6078 8.2956
2.5489 2.6078 -8.2956
ATOMIC_POSITIONS angstrom
Pm 0.0000 0.0000 0.0000
Pm 2.5489 0.0000 5.5036
Pm 0.0000 2.6078 2.7920
Y 0.0000 0.0000 8.2956
Pb 2.5489 0.0000 2.2703
Pb 0.0000 2.6078 6.0253
S 0.0000 2.6078 0.0000
```

Computed properties:
Space-group type: Immm
Uncorrected formation energy (eV per formula unit): -5.75

No. 3
Material: Pm2SbPb
Method: DFT, PBE-GGA
State: optimized geometry Values from VASP.

```
&SYSTEM
  ibrav = 0, nat = 4, ntyp = 3
/
ATOMIC_SPECIES
Pm 145.00 Pm.upf
Sb 121.76 Sb.upf
Pb 207.20 Pb.upf
CELL_PARAMETERS angstrom
2.1356 1.2330 8.3719
-2.1356 1.2330 8.3719
0.0000 -2.4659 8.3719
ATOMIC_POSITIONS angstrom
Pm 0.0000 0.0000 0.0000
Pm 0.0000 0.0000 4.5694
Sb 0.0000 0.0000 14.8684
Pb 0.0000 0.0000 10.6325
```

Computed properties:
Space-group type: R3m
Uncorrected formation energy (eV per formula unit): -2.88
E above lowest polymorph (kJ/mol of atoms): 15.1

No. 4
Material: Pm2SbPb
Method: DFT, PBE-GGA
State: optimized geometry Values from VASP.

```
&SYSTEM
  ibrav = 0, nat = 4, ntyp = 3
/
ATOMIC_SPECIES
Pm 145.00 Pm.upf
Sb 121.76 Sb.upf
Pb 207.20 Pb.upf
CELL_PARAMETERS angstrom
0.0000 3.9059 3.9059
3.9059 0.0000 3.9059
3.9059 3.9059 0.0000
ATOMIC_POSITIONS angstrom
Pm 1.9529 1.9529 1.9529
Pm 5.8588 5.8588 5.8588
Sb 0.0000 0.0000 0.0000
Pb 3.9059 3.9059 3.9059
```

Computed properties:
Space-group type: Fm-3m
Uncorrected formation energy (eV per formula unit): -2.41
E above lowest polymorph (kJ/mol of atoms): 26.3